# 1
The following is a GGA-PBE calculation of crystalline I2O4F at its relaxed geometry, from Alexandria.

Computed properties:
Symmetry = P1
E = -3.942 eV per atom
Size of the total moment = 0.0 μB per formula unit
E_form (uncorrected) = -0.398 eV per atom

Cell: 6.099 5.213 9.866 Å, 105.37 84.46 67.77°
Fractional coordinates of all 14 atoms:
I: 0.447 0.873 0.154
I: 0.123 0.151 0.848
I: 0.781 0.610 0.707
I: 0.416 0.481 0.342
O: 0.128 0.267 0.675
O: 0.478 0.995 0.812
O: 0.223 0.881 0.305
O: 0.630 0.470 0.170
O: 0.724 0.487 0.864
O: 0.605 0.044 0.300
O: 0.242 0.331 0.216
O: 0.664 0.423 0.574
F: 0.109 0.617 0.492
F: 0.180 0.871 0.042

---

# 2
The following is a GGA-PBE calculation of crystalline IOF3 at its relaxed geometry, from Alexandria.

Computed properties:
Symmetry = Cmc2_1
E = -3.486 eV per atom
Polymorph energy (0 for the lowest one) = 0.1874 eV per atom
Size of the total moment = 0.0 μB per formula unit
E_form (uncorrected) = -1.062 eV per atom

Cell: 5.122 7.844 5.883 Å, 131.81 90.00 90.00°
Fractional coordinates of all 10 atoms:
I: 0.093 0.296 0.591
I: 0.593 0.704 0.409
O: 0.383 0.410 0.820
O: 0.883 0.590 0.180
F: 0.844 0.121 0.242
F: 0.344 0.879 0.758
F: 0.233 0.359 0.354
F: 0.733 0.005 0.646
F: 0.733 0.641 0.646
F: 0.233 0.995 0.354

---

# 3
The following is a GGA-PBE calculation of crystalline IO2F at its relaxed geometry, from Alexandria.

Computed properties:
Symmetry = P2_1/c
E = -3.993 eV per atom
Size of the total moment = 0.0 μB per formula unit
E_form (uncorrected) = -0.658 eV per atom

Cell: 5.819 5.523 10.354 Å, 74.28 90.00 90.00°
Fractional coordinates of all 16 atoms:
I: 0.987 0.222 0.590
I: 0.013 0.778 0.410
I: 0.487 0.278 0.910
I: 0.513 0.722 0.090
O: 0.625 0.965 0.907
O: 0.375 0.035 0.093
O: 0.125 0.535 0.593
O: 0.875 0.465 0.407
O: 0.718 0.408 0.985
O: 0.282 0.592 0.015
O: 0.218 0.092 0.515
O: 0.782 0.908 0.485
F: 0.368 0.602 0.271
F: 0.632 0.398 0.729
F: 0.868 0.898 0.229
F: 0.132 0.102 0.771

---

# 4
The following is a GGA-PBE calculation of crystalline IOF3 at its relaxed geometry, from Alexandria.

Computed properties:
Symmetry = P2_12_12_1
E = -3.673 eV per atom
Polymorph energy (0 for the lowest one) = 0.0000 eV per atom
Size of the total moment = 0.0 μB per formula unit
E_form (uncorrected) = -1.249 eV per atom

Cell: 5.873 5.551 10.886 Å, 90.00 90.00 90.00°
Fractional coordinates of all 20 atoms:
F: 0.306 0.050 0.769
F: 0.694 0.450 0.269
F: 0.806 0.950 0.731
F: 0.194 0.550 0.231
F: 0.877 0.291 0.016
F: 0.123 0.209 0.516
F: 0.377 0.709 0.484
F: 0.623 0.791 0.984
F: 0.022 0.415 0.797
F: 0.978 0.085 0.297
F: 0.522 0.585 0.703
F: 0.478 0.915 0.203
I: 0.096 0.153 0.902
I: 0.904 0.347 0.402
I: 0.596 0.847 0.598
I: 0.404 0.653 0.098
O: 0.329 0.299 0.977
O: 0.671 0.201 0.477
O: 0.829 0.701 0.523
O: 0.171 0.799 0.023

---

# 5
The following is a GGA-PBE calculation of crystalline IOF3 at its relaxed geometry, from Alexandria.

Computed properties:
Symmetry = Pm-3m
E = -2.616 eV per atom
Polymorph energy (0 for the lowest one) = 1.0576 eV per atom
Size of the total moment = 1.9 μB per formula unit
E_form (uncorrected) = -0.191 eV per atom

Cell: 4.487 4.487 4.487 Å, 90.00 90.00 90.00°
Fractional coordinates of all 5 atoms:
I: 0.000 0.000 0.000
O: 0.500 0.500 0.500
F: 0.000 0.500 0.000
F: 0.000 0.000 0.500
F: 0.500 0.000 0.000

---

# 6
The following is a GGA-PBE calculation of crystalline IO2F at its relaxed geometry, from Alexandria.

Computed properties:
Symmetry = R-3m
E = -3.100 eV per atom
Size of the total moment = 0.9 μB per formula unit
E_form (uncorrected) = 0.235 eV per atom

Cell: 6.031 6.031 6.031 Å, 36.02 36.02 36.02°
Fractional coordinates of all 4 atoms:
I: 0.500 0.500 0.500
O: 0.872 0.872 0.872
O: 0.128 0.128 0.128
F: 0.000 0.000 0.000

---

# 7
The following is a GGA-PBE calculation of crystalline I2O2F at its relaxed geometry, from Alexandria.

Computed properties:
Symmetry = P4/mmm
E = -2.997 eV per atom
Size of the total moment = 0.9 μB per formula unit
E_form (uncorrected) = -0.019 eV per atom

Cell: 3.990 3.990 6.393 Å, 90.00 90.00 90.00°
Fractional coordinates of all 5 atoms:
I: 0.000 0.000 0.000
I: 0.000 0.000 0.500
O: 0.000 0.500 0.000
O: 0.500 0.000 0.000
F: 0.500 0.500 0.500

---

# 8
The following is a GGA-PBE calculation of crystalline I2O2F at its relaxed geometry, from Alexandria.

Computed properties:
Symmetry = P4/mmm
E = -2.319 eV per atom
Size of the total moment = 2.4 μB per formula unit
E_form (uncorrected) = 0.659 eV per atom

Cell: 4.843 4.843 3.841 Å, 90.00 90.00 90.00°
Fractional coordinates of all 5 atoms:
I: 0.000 0.500 0.000
I: 0.500 0.000 0.000
O: 0.000 0.000 0.000
O: 0.000 0.000 0.500
F: 0.500 0.500 0.500

---

# 9
The following is a GGA-PBE calculation of crystalline I3O5F2 at its relaxed geometry, from Alexandria.

Computed properties:
Symmetry = P-1
E = -3.839 eV per atom
Size of the total moment = 0.0 μB per formula unit
E_form (uncorrected) = -0.520 eV per atom

Cell: 8.296 11.590 7.485 Å, 59.45 50.63 45.26°
Fractional coordinates of all 20 atoms:
I: 0.661 0.851 0.115
I: 0.339 0.149 0.885
I: 0.261 0.834 0.729
I: 0.739 0.166 0.271
I: 0.065 0.608 0.486
I: 0.935 0.392 0.514
O: 0.463 0.615 0.771
O: 0.537 0.385 0.229
O: 0.974 0.878 0.782
O: 0.254 0.219 0.386
O: 0.026 0.122 0.218
O: 0.746 0.781 0.614
O: 0.384 0.826 0.394
O: 0.616 0.174 0.606
O: 0.031 0.430 0.681
O: 0.969 0.570 0.319
F: 0.899 0.169 0.912
F: 0.101 0.831 0.088
F: 0.162 0.568 0.700
F: 0.838 0.432 0.300

---

# 10
The following is a GGA-PBE calculation of crystalline IOF3 at its relaxed geometry, from Alexandria.

Computed properties:
Symmetry = Pm-3m
E = -2.046 eV per atom
Polymorph energy (0 for the lowest one) = 1.6277 eV per atom
Size of the total moment = 2.6 μB per formula unit
E_form (uncorrected) = 0.379 eV per atom

Cell: 4.094 4.094 4.094 Å, 90.00 90.00 90.00°
Fractional coordinates of all 5 atoms:
I: 0.500 0.500 0.500
O: 0.000 0.000 0.000
F: 0.000 0.500 0.000
F: 0.000 0.000 0.500
F: 0.500 0.000 0.000

---

# 11
The following is a GGA-PBE calculation of crystalline I2OF at its relaxed geometry, from Alexandria.

Computed properties:
Symmetry = I-42d
E = -2.407 eV per atom
Polymorph energy (0 for the lowest one) = 0.0000 eV per atom
Size of the total moment = 0.0 μB per formula unit
E_form (uncorrected) = 0.075 eV per atom

Cell: 5.344 5.344 8.235 Å, 71.07 71.07 90.00°
Fractional coordinates of all 8 atoms:
I: 0.484 0.125 0.250
I: 0.266 0.625 0.250
I: 0.375 0.516 0.750
I: 0.875 0.734 0.750
O: 0.500 0.500 0.000
O: 0.250 0.750 0.500
F: 0.000 0.000 0.000
F: 0.750 0.250 0.500

---

# 12
The following is a GGA-PBE calculation of crystalline I2O2F at its relaxed geometry, from Alexandria.

Computed properties:
Symmetry = P4/mmm
E = -2.089 eV per atom
Size of the total moment = 3.5 μB per formula unit
E_form (uncorrected) = 0.888 eV per atom

Cell: 4.761 4.761 4.355 Å, 90.00 90.00 90.00°
Fractional coordinates of all 5 atoms:
I: 0.500 0.500 0.500
I: 0.000 0.000 0.500
O: 0.000 0.500 0.000
O: 0.500 0.000 0.000
F: 0.000 0.000 0.000

---

Which of these has the lowest E? number 3

---

What is the formula in the seventh record? I2O2F

---

Look up the size of the total moment of the tenth one. 2.6 μB per formula unit

---

What is the E_form (uncorrected) in the tenth record? 0.379 eV per atom